Below is a relaxed YMgZn crystal, with properties calculated at the GGA-PBE level. Values from VASP.

SG ... P3m1, No. 156

Geometry as Quantum ESPRESSO input:
```
&SYSTEM
  ibrav = 0, nat = 9, ntyp = 3
/
ATOMIC_SPECIES
Zn 65.41 Zn.upf
Mg 24.30 Mg.upf
Y 88.91 Y.upf
ATOMIC_POSITIONS crystal
Zn 0.333 0.667 0.509
Zn 0.667 0.333 0.030
Zn 0.333 0.667 0.078
Mg 0.000 0.000 0.609
Mg 0.000 0.000 0.406
Mg 0.000 0.000 0.143
Y 0.667 0.333 0.270
Y 0.667 0.333 0.740
Y 0.000 0.000 0.914
CELL_PARAMETERS angstrom
-2.157 2.523 2.785
-1.213 -4.119 -0.579
8.307 -3.839 9.913
```


Below is a relaxed YMgZn crystal, with properties calculated at the GGA-PBE level. Values from VASP.

SG ... P3m1, No. 156

Geometry as Quantum ESPRESSO input:
```
&SYSTEM
  ibrav = 0, nat = 6, ntyp = 3
/
ATOMIC_SPECIES
Zn 65.41 Zn.upf
Y 88.91 Y.upf
Mg 24.30 Mg.upf
ATOMIC_POSITIONS crystal
Zn 0.000 0.000 0.511
Zn 0.333 0.667 0.402
Y 0.667 0.333 0.243
Y 0.667 0.333 0.849
Mg 0.333 0.667 0.650
Mg 0.000 0.000 0.045
CELL_PARAMETERS angstrom
-3.200 -1.385 -0.794
2.494 -2.037 1.556
-4.582 3.645 12.112
```


Below is a relaxed YMgZn crystal, with properties calculated at the GGA-PBE level. Values from VASP.

SG ... P3m1, No. 156

Geometry as Quantum ESPRESSO input:
```
&SYSTEM
  ibrav = 0, nat = 6, ntyp = 3
/
ATOMIC_SPECIES
Mg 24.30 Mg.upf
Y 88.91 Y.upf
Zn 65.41 Zn.upf
ATOMIC_POSITIONS crystal
Mg 0.667 0.333 0.953
Mg 0.333 0.667 0.779
Y 0.000 0.000 0.368
Y 0.333 0.667 0.151
Zn 0.000 0.000 0.639
Zn 0.333 0.667 0.529
CELL_PARAMETERS angstrom
-0.598 0.587 3.491
-2.592 -1.394 -2.056
4.292 -12.059 2.763
```


no.,ΔE to the lowest computed polymorph (meV/atom)
1,380
2,351
3,348